(1)
LuThZn2 | PBE | optimized geometry

Computed properties:
The value obtained for the size of the total moment is 0.00 Bohr magnetons per cell. As for the formation energy: -246 meV per atom. The excess energy over the best structure of this formula in the dataset comes out at 11 meV per atom. Its density of states at the Fermi level is 17.79 states/eV per cell.

```
data_LuThZn2
_chemical_formula_sum 'Lu4 Th4 Zn8'
_space_group_name_H-M_alt 'F m -3 m'
_space_group_IT_number 225
_space_group_name_Hall '-F 4 2 3'
_cell_length_a 7.1906
_cell_length_b 7.1906
_cell_length_c 7.1906
_cell_angle_alpha 90.00
_cell_angle_beta 90.00
_cell_angle_gamma 90.00
loop_
_atom_site_label
_atom_site_fract_x
_atom_site_fract_y
_atom_site_fract_z
Lu1 0.0000 0.0000 0.0000
Th1 0.0000 0.0000 0.5000
Zn1 0.2500 0.2500 0.2500
```

(2)
Pu2GaO11 | PBE | optimized geometry

Computed properties:
The value obtained for the size of the total moment is 4.07 Bohr magnetons per cell. For the energy relative to the elements, uncorrected, the calculation gives -134 kJ per mole of atoms. Its density of states at the Fermi level is 29.16 states/eV per cell.

```
data_Pu2GaO11
_chemical_formula_sum 'Pu8 Ga4 O44'
_space_group_name_H-M_alt 'I b a m'
_space_group_IT_number 72
_space_group_name_Hall '-I 2 2c'
_cell_length_a 8.4667
_cell_length_b 10.0472
_cell_length_c 10.2837
_cell_angle_alpha 90.00
_cell_angle_beta 90.00
_cell_angle_gamma 90.00
loop_
_atom_site_label
_atom_site_fract_x
_atom_site_fract_y
_atom_site_fract_z
Pu1 0.1796 0.2315 0.0000
Ga1 0.0000 0.0000 0.2500
O1 0.0000 0.5000 0.0000
O2 0.0618 0.3434 0.5000
O3 0.1068 0.1092 0.1326
O4 0.2471 0.3431 0.1278
```

(3)
Tm3CoSi3 | PBE | optimized geometry

Computed properties:
The value obtained for the size of the total moment is 0.00 Bohr magnetons per cell. For the energy relative to the elements, uncorrected, the calculation gives -78 kJ per mole of atoms. Its density of states at the Fermi level is 16.48 states/eV per cell.

```
data_Tm3CoSi3
_chemical_formula_sum 'Tm12 Co4 Si12'
_space_group_name_H-M_alt 'C 1 2/m 1'
_space_group_IT_number 12
_space_group_name_Hall '-C 2y'
_cell_length_a 10.3154
_cell_length_b 4.1222
_cell_length_c 13.2961
_cell_angle_alpha 90.00
_cell_angle_beta 111.01
_cell_angle_gamma 90.00
loop_
_atom_site_label
_atom_site_fract_x
_atom_site_fract_y
_atom_site_fract_z
Tm1 0.0244 0.0000 0.3793
Tm2 0.1005 0.0000 0.9193
Tm3 0.2470 0.0000 0.2287
Co1 0.2476 0.5000 0.4174
Si1 0.0518 0.5000 0.2418
Si2 0.1161 0.5000 0.0759
Si3 0.1379 0.5000 0.5439
```

(4)
NaZnNiP | PBE | optimized geometry

Computed properties:
The value obtained for the size of the total moment is 0.00 Bohr magnetons per cell. As for the formation energy: -254 meV per atom. Its density of states at the Fermi level is 3.75 states/eV per cell.

```
data_NaZnNiP
_chemical_formula_sum 'Na2 Zn2 Ni2 P2'
_space_group_name_H-M_alt 'P 4/n m m'
_space_group_IT_number 129
_cell_length_a 3.7583
_cell_length_b 3.7583
_cell_length_c 10.6975
_cell_angle_alpha 90.00
_cell_angle_beta 90.00
_cell_angle_gamma 90.00
loop_
_space_group_symop_operation_xyz
'x,y,z'
'-x,-y,-z'
'-y+1/2,x,z'
'y+1/2,-x,-z'
'-x+1/2,-y+1/2,z'
'x+1/2,y+1/2,-z'
'y,-x+1/2,z'
'-y,x+1/2,-z'
'x+1/2,-y,-z'
'-x+1/2,y,z'
'-y,-x,-z'
'y,x,z'
'-x,y+1/2,-z'
'x,-y+1/2,z'
'y+1/2,x+1/2,-z'
'-y+1/2,-x+1/2,z'
loop_
_atom_site_label
_atom_site_fract_x
_atom_site_fract_y
_atom_site_fract_z
Na1 0.2500 0.2500 0.2466
Zn1 0.2500 0.7500 0.5000
Ni1 0.2500 0.7500 0.0000
P1 0.2500 0.2500 0.8871
```

(5)
TbPr2Tm5 | PBE | optimized geometry

Computed properties:
The value obtained for the size of the total moment is 0.00 Bohr magnetons per cell. As for the formation energy: 178 meV per atom. The excess energy over the best structure of this formula in the dataset comes out at 151 meV per atom. Its density of states at the Fermi level is 47.93 states/eV per cell.

```
data_TbPr2Tm5
_chemical_formula_sum 'Tb4 Pr8 Tm20'
_space_group_name_H-M_alt 'C 1 2/c 1'
_space_group_IT_number 15
_space_group_name_Hall '-C 2yc'
_cell_length_a 16.1225
_cell_length_b 9.8427
_cell_length_c 6.5255
_cell_angle_alpha 90.00
_cell_angle_beta 98.99
_cell_angle_gamma 90.00
loop_
_atom_site_label
_atom_site_fract_x
_atom_site_fract_y
_atom_site_fract_z
Tb1 0.2500 0.2500 0.0000
Pr1 0.0792 0.2451 0.1172
Tm1 0.0000 0.4403 0.7500
Tm2 0.1009 0.0887 0.6485
Tm3 0.1979 0.4123 0.5266
```

(6)
Tc2Mo | PBE | optimized geometry

Computed properties:
The value obtained for the size of the total moment is 0.00 Bohr magnetons per cell. As for the formation energy: 930 meV per atom. The excess energy over the best structure of this formula in the dataset comes out at 820 meV per atom. Its density of states at the Fermi level is 3.26 states/eV per cell.

```
data_Tc2Mo
_chemical_formula_sum 'Tc2 Mo1'
_space_group_name_H-M_alt 'P 4/m m m'
_space_group_IT_number 123
_space_group_name_Hall '-P 4 2'
_cell_length_a 4.0782
_cell_length_b 4.0782
_cell_length_c 3.1773
_cell_angle_alpha 90.00
_cell_angle_beta 90.00
_cell_angle_gamma 90.00
loop_
_atom_site_label
_atom_site_fract_x
_atom_site_fract_y
_atom_site_fract_z
Tc1 0.0000 0.5000 0.0000
Mo1 0.0000 0.0000 0.5000
```

(7)
LaGeC | PBE | optimized geometry

Computed properties:
The value obtained for the size of the total moment is 0.00 Bohr magnetons per cell. As for the formation energy: -388 meV per atom. The excess energy over the best structure of this formula in the dataset comes out at 34 meV per atom. Its density of states at the Fermi level is 3.81 states/eV per cell.

```
data_LaGeC
_chemical_formula_sum 'La4 Ge4 C4'
_space_group_name_H-M_alt 'C 1 m 1'
_space_group_IT_number 8
_space_group_name_Hall 'C -2y'
_cell_length_a 7.2647
_cell_length_b 4.0235
_cell_length_c 9.2310
_cell_angle_alpha 90.00
_cell_angle_beta 109.73
_cell_angle_gamma 90.00
loop_
_atom_site_label
_atom_site_fract_x
_atom_site_fract_y
_atom_site_fract_z
La1 0.0000 0.0000 0.0000
La2 0.0916 0.5000 0.6390
Ge1 0.1612 0.0000 0.3876
Ge2 0.2790 0.5000 0.2691
C1 0.2390 0.0000 0.8614
C2 0.3651 0.0000 0.7859
```

(8)
LiCuTc | PBE | optimized geometry

Computed properties:
The value obtained for the size of the total moment is 1.51 Bohr magnetons per cell. As for the formation energy: 367 meV per atom. The excess energy over the best structure of this formula in the dataset comes out at 187 meV per atom. Its density of states at the Fermi level is 5.75 states/eV per cell.

```
data_LiCuTc
_chemical_formula_sum 'Li2 Cu2 Tc2'
_space_group_name_H-M_alt 'I m m 2'
_space_group_IT_number 44
_space_group_name_Hall 'I 2 -2'
_cell_length_a 2.4636
_cell_length_b 3.9383
_cell_length_c 8.2074
_cell_angle_alpha 90.00
_cell_angle_beta 90.00
_cell_angle_gamma 90.00
loop_
_atom_site_label
_atom_site_fract_x
_atom_site_fract_y
_atom_site_fract_z
Li1 0.0000 0.0000 0.0000
Cu1 0.0000 0.0000 0.3410
Tc1 0.0000 0.0000 0.6788
```

> Which value of size of the total moment does entry 6 give?

0.00 Bohr magnetons per cell

> Which formula does entry 1 have?

LuThZn2

> Which formula does entry 7 have?

LaGeC